# Nb3TcH

A relaxed structure of Nb3TcH (PBE, the Alexandria database).

Values from the calculation:
E_tot: -0.5204 Ry/atom
size of the total moment: 0.00 μB per formula unit
E above lowest polymorph: 1601.5 meV/atom

a = 4.820 Å, b = 4.820 Å, c = 4.820 Å
α = 90.00°, β = 90.00°, γ = 90.00°
Space group Pm-3m (No. 221)
Symmetry-distinct sites (fractional):
Nb (0.000, 0.000, 0.500) [3 per cell]
Tc (0.000, 0.000, 0.000) [1 per cell]
H (0.500, 0.500, 0.500) [1 per cell]

***

# Ba8N4Cl

A relaxed structure of Ba8N4Cl (PBE, the Alexandria database).

Values from the calculation:
E_tot: -0.3295 Ry/atom
energy relative to the elements, uncorrected: -596 meV per atom
size of the total moment: 0.00 μB per formula unit

a = 22.722 Å, b = 3.896 Å, c = 15.743 Å
α = 90.00°, β = 128.21°, γ = 90.00°
Space group Cm (No. 8)
Symmetry-distinct sites (fractional):
Ba (0.000, 0.000, 0.000) [2 per cell]
Ba (0.040, 0.000, 0.810) [2 per cell]
Ba (0.100, 0.500, 0.582) [2 per cell]
Ba (0.246, 0.500, 0.143) [2 per cell]
Ba (0.307, 0.000, 0.921) [2 per cell]
Ba (0.352, 0.000, 0.738) [2 per cell]
Ba (0.402, 0.000, 0.451) [2 per cell]
Ba (0.444, 0.500, 0.282) [2 per cell]
N (0.000, 0.500, 0.878) [2 per cell]
N (0.003, 0.000, 0.487) [2 per cell]
N (0.343, 0.000, 0.243) [2 per cell]
N (0.354, 0.500, 0.865) [2 per cell]
Cl (0.372, 0.500, 0.589) [2 per cell]

***

# Li3Zn2Au4

A relaxed structure of Li3Zn2Au4 (PBE, the Alexandria database).

Values from the calculation:
E_tot: -0.2057 Ry/atom
calculated formation energy: -3.78 eV per formula unit
size of the total moment: 0.00 μB per formula unit
E above lowest polymorph: 16.7 meV/atom

a = 11.406 Å, b = 4.147 Å, c = 8.206 Å
α = 90.00°, β = 132.51°, γ = 90.00°
Space group C2/m (No. 12)
Symmetry-distinct sites (fractional):
Li (0.000, 0.000, 0.000) [2 per cell]
Li (0.016, 0.000, 0.678) [4 per cell]
Zn (0.170, 0.500, 0.332) [4 per cell]
Au (0.147, 0.500, 0.981) [4 per cell]
Au (0.172, 0.500, 0.654) [4 per cell]

***

# Cs2Cu2Si8O19

A relaxed structure of Cs2Cu2Si8O19 (PBE, the Alexandria database).

Values from the calculation:
E_tot: -0.5291 Ry/atom
energy relative to the elements, uncorrected: -2441 meV per atom
size of the total moment: 2.00 μB per formula unit

a = 10.108 Å, b = 8.641 Å, c = 11.850 Å
α = 90.00°, β = 94.51°, γ = 90.00°
Space group P2_1/m (No. 11)
Symmetry-distinct sites (fractional):
Cs (0.011, 0.250, 0.048) [2 per cell]
Cs (0.400, 0.250, 0.521) [2 per cell]
Cu (0.351, 0.007, 0.015) [4 per cell]
Si (0.053, 0.066, 0.384) [4 per cell]
Si (0.176, 0.070, 0.781) [4 per cell]
Si (0.294, 0.564, 0.266) [4 per cell]
Si (0.440, 0.568, 0.764) [4 per cell]
O (0.000, 0.000, 0.500) [2 per cell]
O (0.055, 0.539, 0.722) [4 per cell]
O (0.084, 0.250, 0.399) [2 per cell]
O (0.134, 0.250, 0.751) [2 per cell]
O (0.193, 0.518, 0.364) [4 per cell]
O (0.194, 0.030, 0.913) [4 per cell]
O (0.242, 0.507, 0.142) [4 per cell]
O (0.310, 0.032, 0.714) [4 per cell]
O (0.323, 0.750, 0.280) [2 per cell]
O (0.408, 0.750, 0.737) [2 per cell]
O (0.438, 0.018, 0.313) [4 per cell]
O (0.477, 0.529, 0.896) [4 per cell]

***

# Ac3MgSn2Pd9

A relaxed structure of Ac3MgSn2Pd9 (PBE, the Alexandria database).

Values from the calculation:
E_tot: -0.3762 Ry/atom
calculated formation energy: -8.12 eV per formula unit
size of the total moment: 0.00 μB per formula unit

a = 6.7518 Å, b = 6.7518 Å, c = 9.7990 Å
α = 90.00°, β = 90.00°, γ = 120.00°
Space group P-3m1 (No. 164)
Symmetry-distinct sites (fractional):
Ac (0.0000, 0.0000, 0.0000) [1 per cell]
Ac (0.3333, 0.6667, 0.7347) [2 per cell]
Mg (0.0000, 0.0000, 0.5000) [1 per cell]
Sn (0.3333, 0.6667, 0.1853) [2 per cell]
Pd (0.0000, 0.5000, 0.0000) [3 per cell]
Pd (0.1320, 0.2641, 0.2792) [6 per cell]

***

# ZrBe2RhF

A relaxed structure of ZrBe2RhF (PBE, the Alexandria database).

Values from the calculation:
E_tot: -0.2740 Ry/atom
energy relative to the elements, uncorrected: 1317 meV per atom
size of the total moment: 0.00 μB per formula unit

a = 5.036 Å, b = 5.036 Å, c = 4.736 Å
α = 90.00°, β = 90.00°, γ = 90.00°
Space group P4/mmm (No. 123)
Symmetry-distinct sites (fractional):
Zr (0.000, 0.000, 0.000) [1 per cell]
Be (0.000, 0.500, 0.000) [2 per cell]
Rh (0.000, 0.000, 0.500) [1 per cell]
F (0.500, 0.500, 0.500) [1 per cell]

***

# Tc2OsSe

A relaxed structure of Tc2OsSe (PBE, the Alexandria database).

Values from the calculation:
E_tot: -0.6116 Ry/atom
energy relative to the elements, uncorrected: 540 meV per atom
size of the total moment: 0.00 μB per formula unit

a = 5.263 Å, b = 7.960 Å, c = 2.900 Å
α = 90.00°, β = 96.73°, γ = 90.00°
Space group C2/m (No. 12)
Symmetry-distinct sites (fractional):
Tc (0.250, 0.250, 0.000) [4 per cell]
Os (0.000, 0.000, 0.500) [2 per cell]
Se (0.000, 0.500, 0.500) [2 per cell]

***

# AcTb2NdS4

A relaxed structure of AcTb2NdS4 (PBE, the Alexandria database).

Values from the calculation:
E_tot: -0.4652 Ry/atom
energy relative to the elements, uncorrected: -1998 meV per atom
size of the total moment: 0.00 μB per formula unit

a = 6.954 Å, b = 3.991 Å, c = 7.200 Å
α = 90.00°, β = 108.62°, γ = 90.00°
Space group P2/m (No. 10)
Symmetry-distinct sites (fractional):
Ac (0.000, 0.000, 0.000) [1 per cell]
Tb (0.000, 0.500, 0.500) [1 per cell]
Tb (0.500, 0.000, 0.500) [1 per cell]
Nd (0.500, 0.500, 0.000) [1 per cell]
S (0.249, 0.000, 0.730) [2 per cell]
S (0.264, 0.500, 0.274) [2 per cell]

***

# Y2U2Se2S5

A relaxed structure of Y2U2Se2S5 (PBE, the Alexandria database).

Values from the calculation:
E_tot: -0.5260 Ry/atom
energy relative to the elements, uncorrected: -1419 meV per atom
size of the total moment: 3.68 μB per formula unit

a = 5.264 Å, b = 5.264 Å, c = 23.679 Å
α = 90.00°, β = 90.00°, γ = 90.00°
Space group I4/mmm (No. 139)
Symmetry-distinct sites (fractional):
Y (0.000, 0.000, 0.162) [4 per cell]
U (0.000, 0.000, 0.391) [4 per cell]
Se (0.000, 0.000, 0.277) [4 per cell]
S (0.000, 0.000, 0.500) [2 per cell]
S (0.000, 0.500, 0.117) [8 per cell]

***

# ScC3S

A relaxed structure of ScC3S (PBE, the Alexandria database).

Values from the calculation:
E_tot: -0.4329 Ry/atom
energy relative to the elements, uncorrected: 1736 meV per atom
size of the total moment: 0.00 μB per formula unit
E above lowest polymorph: 0.0 meV/atom

a = 3.669 Å, b = 3.669 Å, c = 3.669 Å
α = 90.00°, β = 90.00°, γ = 90.00°
Space group Pm-3m (No. 221)
Symmetry-distinct sites (fractional):
Sc (0.000, 0.000, 0.000) [1 per cell]
C (0.000, 0.500, 0.500) [3 per cell]
S (0.500, 0.500, 0.500) [1 per cell]

***

# ThGeHRh3

A relaxed structure of ThGeHRh3 (PBE, the Alexandria database).

Values from the calculation:
E_tot: -0.5095 Ry/atom
size of the total moment: 0.00 μB per formula unit

a = 5.826 Å, b = 11.193 Å, c = 5.753 Å
α = 90.00°, β = 90.00°, γ = 90.00°
Space group Cmcm (No. 63)
Symmetry-distinct sites (fractional):
Th (0.000, 0.241, 0.250) [4 per cell]
Ge (0.000, 0.111, 0.750) [4 per cell]
H (0.000, 0.499, 0.250) [4 per cell]
Rh (0.000, 0.322, 0.750) [4 per cell]
Rh (0.237, 0.500, 0.000) [8 per cell]

***

# HoEr2Th3

A relaxed structure of HoEr2Th3 (PBE, the Alexandria database).

Values from the calculation:
E_tot: -0.4384 Ry/atom
calculated formation energy: 0.17 eV per formula unit
size of the total moment: 0.00 μB per formula unit
E above lowest polymorph: 0.0 meV/atom

a = 10.007 Å, b = 3.559 Å, c = 10.630 Å
α = 90.00°, β = 90.66°, γ = 90.00°
Space group P2_1/m (No. 11)
Symmetry-distinct sites (fractional):
Ho (0.123, 0.250, 0.247) [2 per cell]
Er (0.130, 0.250, 0.586) [2 per cell]
Er (0.374, 0.750, 0.083) [2 per cell]
Th (0.125, 0.250, 0.917) [2 per cell]
Th (0.375, 0.750, 0.749) [2 per cell]
Th (0.377, 0.750, 0.418) [2 per cell]

***

# Cd2HgBiRh

A relaxed structure of Cd2HgBiRh (PBE, the Alexandria database).

Values from the calculation:
E_tot: -0.1933 Ry/atom
calculated formation energy: 0.21 eV per formula unit
size of the total moment: 0.00 μB per formula unit

a = 5.312 Å, b = 5.312 Å, c = 5.062 Å
α = 90.00°, β = 90.00°, γ = 90.00°
Space group P4/mmm (No. 123)
Symmetry-distinct sites (fractional):
Cd (0.000, 0.500, 0.000) [2 per cell]
Hg (0.000, 0.000, 0.500) [1 per cell]
Bi (0.500, 0.500, 0.500) [1 per cell]
Rh (0.500, 0.500, 0.000) [1 per cell]

***

# NaGe

A relaxed structure of NaGe (PBE, the Alexandria database).

Values from the calculation:
E_tot: -0.1667 Ry/atom
calculated formation energy: 1.40 eV per formula unit
size of the total moment: 0.00 μB per formula unit

a = 5.1202 Å, b = 5.1202 Å, c = 5.6926 Å
α = 90.00°, β = 90.00°, γ = 120.00°
Space group P6_3/mmc (No. 194)
Symmetry-distinct sites (fractional):
Na (0.3333, 0.6667, 0.2500) [2 per cell]
Ge (0.3333, 0.6667, 0.7500) [2 per cell]

***

# Pr3Sm8Ho2

A relaxed structure of Pr3Sm8Ho2 (PBE, the Alexandria database).

Values from the calculation:
E_tot: -0.3297 Ry/atom
calculated formation energy: 2.93 eV per formula unit
size of the total moment: 0.00 μB per formula unit
E above lowest polymorph: 70.2 meV/atom

a = 20.390 Å, b = 7.765 Å, c = 5.779 Å
α = 90.00°, β = 90.01°, γ = 90.00°
Space group C2/m (No. 12)
Symmetry-distinct sites (fractional):
Pr (0.000, 0.000, 0.000) [2 per cell]
Pr (0.000, 0.291, 0.500) [4 per cell]
Sm (0.109, 0.291, 0.000) [8 per cell]
Sm (0.136, 0.000, 0.500) [4 per cell]
Sm (0.174, 0.500, 0.500) [4 per cell]
Ho (0.241, 0.000, 0.000) [4 per cell]

***

# NaPbSe2O6

A relaxed structure of NaPbSe2O6 (PBE, the Alexandria database).

Values from the calculation:
E_tot: -0.3829 Ry/atom
energy relative to the elements, uncorrected: -1036 meV per atom
size of the total moment: 0.00 μB per formula unit

a = 7.725 Å, b = 11.015 Å, c = 8.218 Å
α = 90.00°, β = 95.15°, γ = 90.00°
Space group C2/c (No. 15)
Symmetry-distinct sites (fractional):
Na (0.000, 0.208, 0.250) [4 per cell]
Pb (0.000, 0.377, 0.750) [4 per cell]
Se (0.206, 0.104, 0.885) [8 per cell]
O (0.080, 0.366, 0.040) [8 per cell]
O (0.197, 0.211, 0.730) [8 per cell]
O (0.221, 0.032, 0.284) [8 per cell]

***

# YScSO2

A relaxed structure of YScSO2 (PBE, the Alexandria database).

Values from the calculation:
E_tot: -0.6191 Ry/atom
energy relative to the elements, uncorrected: -3055 meV per atom
size of the total moment: 0.00 μB per formula unit

a = 6.458 Å, b = 3.964 Å, c = 7.392 Å
α = 90.00°, β = 115.00°, γ = 90.00°
Space group P2_1/m (No. 11)
Symmetry-distinct sites (fractional):
Y (0.193, 0.250, 0.445) [2 per cell]
Sc (0.159, 0.250, 0.944) [2 per cell]
S (0.484, 0.750, 0.726) [2 per cell]
O (0.002, 0.750, 0.361) [2 per cell]
O (0.043, 0.750, 0.904) [2 per cell]

***

# Tb4Pm2NdMg

A relaxed structure of Tb4Pm2NdMg (PBE, the Alexandria database).

Values from the calculation:
E_tot: -0.3142 Ry/atom
calculated formation energy: 0.18 eV per formula unit
size of the total moment: 0.00 μB per formula unit

a = 4.995 Å, b = 5.006 Å, c = 10.225 Å
α = 90.00°, β = 90.00°, γ = 90.00°
Space group Pmmm (No. 47)
Symmetry-distinct sites (fractional):
Tb (0.000, 0.000, 0.246) [2 per cell]
Tb (0.500, 0.500, 0.246) [2 per cell]
Pm (0.000, 0.500, 0.000) [1 per cell]
Pm (0.500, 0.000, 0.500) [1 per cell]
Nd (0.000, 0.500, 0.500) [1 per cell]
Mg (0.500, 0.000, 0.000) [1 per cell]

***

# Sm3DyAs3

A relaxed structure of Sm3DyAs3 (PBE, the Alexandria database).

Values from the calculation:
E_tot: -0.4365 Ry/atom
calculated formation energy: -8.87 eV per formula unit
size of the total moment: 0.00 μB per formula unit

a = 8.869 Å, b = 8.869 Å, c = 8.869 Å
α = 90.00°, β = 90.00°, γ = 90.00°
Space group P2_13 (No. 198)
Symmetry-distinct sites (fractional):
Sm (0.066, 0.434, 0.566) [4 per cell]
Sm (0.182, 0.818, 0.318) [4 per cell]
Sm (0.183, 0.183, 0.183) [4 per cell]
Dy (0.067, 0.567, 0.933) [4 per cell]
As (0.001, 0.253, 0.873) [12 per cell]

***

# Ca2ZrSi

A relaxed structure of Ca2ZrSi (PBE, the Alexandria database).

Values from the calculation:
E_tot: -0.3087 Ry/atom
energy relative to the elements, uncorrected: 293 meV per atom
size of the total moment: 2.00 μB per formula unit

a = 9.811 Å, b = 9.811 Å, c = 5.367 Å
α = 90.00°, β = 90.00°, γ = 90.00°
Space group I-42d (No. 122)
Symmetry-distinct sites (fractional):
Ca (0.139, 0.250, 0.125) [8 per cell]
Zr (0.000, 0.000, 0.500) [4 per cell]
Si (0.000, 0.000, 0.000) [4 per cell]